This record from the Alexandria database describes Pr3AgPd2 after structural relaxation. The functional is GGA-PBE.

Cell lengths 4.053, 17.280, 4.543 Å; angles 90.00, 90.00, 90.00 degrees
Positions (direct):
Pr (0.000, 0.000, 0.000)
Pr (0.000, 0.164, 0.500)
Pr (0.000, 0.836, 0.500)
Pr (0.500, 0.336, 0.500)
Pr (0.500, 0.500, 0.000)
Pr (0.500, 0.664, 0.500)
Ag (0.000, 0.500, 0.500)
Ag (0.500, 0.000, 0.500)
Pd (0.000, 0.369, 0.000)
Pd (0.000, 0.631, 0.000)
Pd (0.500, 0.131, 0.000)
Pd (0.500, 0.869, 0.000)

Values from the calculation:
The value obtained for the total magnetization is 0.00 μB/cell. The value obtained for the energy is -5.00 eV per atom. The value obtained for the energy above the lowest structure with this stoichiometry is 81 meV per atom.

This record from the Alexandria database describes Pu2Zn3Si2 after structural relaxation. The functional is GGA-PBE.

Cell lengths 4.120, 21.995, 2.831 Å; angles 90.00, 90.00, 90.00 degrees
Positions (direct):
Pu (0.000, 0.151, 0.000)
Pu (0.000, 0.849, 0.000)
Pu (0.500, 0.349, 0.000)
Pu (0.500, 0.651, 0.000)
Zn (0.000, 0.000, 0.000)
Zn (0.000, 0.438, 0.500)
Zn (0.000, 0.562, 0.500)
Zn (0.500, 0.062, 0.500)
Zn (0.500, 0.500, 0.000)
Zn (0.500, 0.938, 0.500)
Si (0.000, 0.278, 0.500)
Si (0.000, 0.722, 0.500)
Si (0.500, 0.222, 0.500)
Si (0.500, 0.778, 0.500)

Values from the calculation:
The value obtained for the total magnetization is 22.46 μB/cell. The value obtained for the energy is -6.35 eV per atom. The calculation puts the uncorrected formation energy at -1.1 eV per formula unit.

This record from the Alexandria database describes Pa2CuNi2 after structural relaxation. The functional is GGA-PBE.

Cell lengths 7.090, 7.090, 7.209 Å; angles 90.00, 90.00, 90.00 degrees
Positions (direct):
Pa (0.175, 0.321, 0.000)
Pa (0.179, 0.325, 0.500)
Pa (0.321, 0.825, 0.000)
Pa (0.325, 0.821, 0.500)
Pa (0.675, 0.179, 0.500)
Pa (0.679, 0.175, 0.000)
Pa (0.821, 0.675, 0.500)
Pa (0.825, 0.679, 0.000)
Cu (0.000, 0.000, 0.267)
Cu (0.000, 0.000, 0.733)
Cu (0.500, 0.500, 0.233)
Cu (0.500, 0.500, 0.767)
Ni (0.128, 0.628, 0.250)
Ni (0.128, 0.628, 0.750)
Ni (0.372, 0.128, 0.250)
Ni (0.372, 0.128, 0.750)
Ni (0.628, 0.872, 0.250)
Ni (0.628, 0.872, 0.750)
Ni (0.872, 0.372, 0.250)
Ni (0.872, 0.372, 0.750)

Values from the calculation:
The value obtained for the total magnetization is 0.00 μB/cell. The value obtained for the energy is -7.18 eV per atom. The value obtained for the energy above the lowest structure with this stoichiometry is 0 meV per atom.

This record from the Alexandria database describes Tm3SbAu after structural relaxation. The functional is GGA-PBE.

Cell lengths 8.123, 8.123, 8.299 Å; angles 97.07, 97.07, 36.60 degrees
Positions (direct):
Tm (0.041, 0.041, 0.220)
Tm (0.173, 0.173, 0.604)
Tm (0.326, 0.326, 0.965)
Tm (0.674, 0.674, 0.035)
Tm (0.827, 0.827, 0.396)
Tm (0.959, 0.959, 0.780)
Sb (0.374, 0.374, 0.599)
Sb (0.626, 0.626, 0.401)
Au (0.133, 0.133, 0.930)
Au (0.867, 0.867, 0.070)

Values from the calculation:
The value obtained for the total magnetization is 0.00 μB/cell. The value obtained for the energy is -4.65 eV per atom. The calculation puts the uncorrected formation energy at -2.4 eV per formula unit.

What is the formula in the third record? Pa2CuNi2

Repeat the first record exactly.
This record from the Alexandria database describes Pr3AgPd2 after structural relaxation. The functional is GGA-PBE.

Cell lengths 4.053, 17.280, 4.543 Å; angles 90.00, 90.00, 90.00 degrees
Positions (direct):
Pr (0.000, 0.000, 0.000)
Pr (0.000, 0.164, 0.500)
Pr (0.000, 0.836, 0.500)
Pr (0.500, 0.336, 0.500)
Pr (0.500, 0.500, 0.000)
Pr (0.500, 0.664, 0.500)
Ag (0.000, 0.500, 0.500)
Ag (0.500, 0.000, 0.500)
Pd (0.000, 0.369, 0.000)
Pd (0.000, 0.631, 0.000)
Pd (0.500, 0.131, 0.000)
Pd (0.500, 0.869, 0.000)

Values from the calculation:
The value obtained for the total magnetization is 0.00 μB/cell. The value obtained for the energy is -5.00 eV per atom. The value obtained for the energy above the lowest structure with this stoichiometry is 81 meV per atom.